(1)
Density functional theory data (PBE) for CeHo2Rh9 after structural relaxation.

SG: R-3m, No. 166
Formation energy from the elements, eV/f.u.: -7.042

POSCAR file:
```
CeHo2Rh9
1.0
-3.2205 -0.2754 -4.1438
-2.2214 -4.5815 -1.3017
-8.6536 0.2218 3.3781
Rh Ho Ce
9 2 1
Cartesian
-1.8176 -1.6180 -1.8124 Rh
-12.2779 -3.0171 -0.2550 Rh
-4.4296 -1.9656 -1.4209 Rh
-5.5434 -4.2627 -2.0736 Rh
-8.0511 -2.5314 1.4312 Rh
-8.5521 -0.3723 0.0062 Rh
-7.0477 -2.3175 -1.0337 Rh
-6.0444 -2.1037 -3.4986 Rh
-9.6658 -2.6694 -0.6465 Rh
-5.7918 -0.5484 1.2052 Ho
-8.3037 -4.0867 -3.2726 Ho
0.0000 0.0000 0.0000 Ce
```


(2)
Density functional theory data (PBE) for Ce4Ho2Rh9 after structural relaxation.

SG: P-3m1, No. 164
Formation energy from the elements, eV/f.u.: -10.304

POSCAR file:
```
Ce4Ho2Rh9
1.0
-3.7594 0.3481 2.5440
2.4024 -3.8671 0.0057
9.2822 5.7856 12.9251
Ho Rh Ce
2 9 4
Cartesian
0.5987 0.3792 4.9064 Ho
7.3265 1.8873 10.5684 Ho
4.6411 2.8928 6.4625 Rh
8.9755 2.9151 12.8647 Rh
7.7670 4.8411 10.8153 Rh
3.0671 1.9117 4.2708 Rh
5.7406 0.8988 8.3601 Rh
-1.0504 -0.6487 2.6102 Rh
2.1846 1.3677 7.1147 Rh
1.5152 0.9444 2.1098 Rh
6.2151 3.8739 8.6543 Rh
4.0912 -0.1293 6.0634 Ce
6.6345 4.1413 13.3110 Ce
1.2907 -1.8748 2.1638 Ce
3.8340 2.3957 9.4115 Ce
```


(3)
Density functional theory data (PBE) for CeHo5Rh6 after structural relaxation.

SG: Cmmm, No. 65
Formation energy from the elements, eV/f.u.: -10.361

POSCAR file:
```
CeHo5Rh6
1.0
-3.8826 1.3806 -2.4596
3.1495 -1.7926 -5.9774
-4.6537 -5.9408 -0.6703
Ce Ho Rh
1 5 6
Cartesian
0.0000 0.0000 0.0000 Ce
-4.1118 -3.9261 -5.0762 Ho
-1.2749 -2.4268 -4.0311 Ho
-5.6792 -3.0118 -2.0890 Ho
1.5748 -0.8963 -2.9887 Ho
-2.8570 -1.5484 -1.0409 Ho
-1.3979 -5.1073 -5.3416 Rh
-2.4096 -2.1444 -6.7632 Rh
-1.1621 0.2469 -2.7080 Rh
-3.9889 -1.2455 -3.7657 Rh
-2.9772 -4.2084 -2.3441 Rh
0.4290 -0.6589 -5.7290 Rh
```


(4)
Density functional theory data (PBE) for CeHo3Rh2 after structural relaxation.

SG: Ibam, No. 72
Formation energy from the elements, eV/f.u.: -3.339

POSCAR file:
```
CeHo3Rh2
1.0
6.7769 0.0000 0.0000
0.0000 7.0418 0.0000
-3.3884 -3.5209 6.7432
Ho Ce Rh
6 2 4
Cartesian
0.0000 1.7604 3.2627 Ho
0.0000 5.2813 3.2627 Ho
3.3884 5.2813 0.0000 Ho
3.3884 -1.7604 3.4805 Ho
3.3884 1.7604 3.4805 Ho
3.3884 1.7604 0.0000 Ho
0.0000 3.5209 0.0000 Ce
0.0000 0.0000 0.0000 Ce
4.9517 0.0000 1.7700 Rh
-1.5633 3.5209 4.9732 Rh
1.5633 0.0000 4.9732 Rh
1.8251 3.5209 1.7700 Rh
```


(5)
Density functional theory data (PBE) for Ce2HoRh9 after structural relaxation.

SG: R-3m, No. 166
Formation energy from the elements, eV/f.u.: -6.715

POSCAR file:
```
Ce2HoRh9
1.0
5.2481 0.0000 0.0000
2.6240 4.5450 0.0000
2.6240 1.5150 8.8569
Rh Ce Ho
9 2 1
Cartesian
3.9282 2.2679 2.1968 Rh
5.2481 4.5540 2.1968 Rh
6.5679 3.7920 6.6602 Rh
7.8721 4.5450 8.8473 Rh
2.6240 1.5150 0.0097 Rh
5.2481 1.5059 6.6602 Rh
5.2481 3.0300 4.4285 Rh
6.5679 2.2679 2.1968 Rh
3.9282 3.7920 6.6602 Rh
7.8721 4.5450 3.6810 Ce
2.6240 1.5150 5.1760 Ce
0.0000 0.0000 0.0000 Ho
```


(6)
Density functional theory data (PBE) for Ce2Ho5Rh4 after structural relaxation.

SG: C2/m, No. 12
Formation energy from the elements, eV/f.u.: -5.099

POSCAR file:
```
Ce2Ho5Rh4
1.0
-0.1455 -0.8932 -3.3977
5.5062 -4.2004 0.8684
-15.8327 -1.6973 2.9437
Ho Rh Ce
5 4 2
Cartesian
-7.8611 -4.9257 -0.1878 Ho
-2.6109 -1.8652 0.6022 Ho
-0.0728 -0.4466 -1.6989 Ho
-3.9743 -5.1167 -0.3040 Ho
-6.4978 -1.6742 0.7184 Ho
-1.3919 -4.0911 -0.6843 Rh
3.3894 -3.4417 0.7596 Rh
-9.0801 -2.6998 1.0987 Rh
-13.8614 -3.3493 -0.3452 Rh
0.8335 -3.0606 0.7689 Ce
-11.3055 -3.7303 -0.3545 Ce
```


(7)
Density functional theory data (PBE) for CeHo3Rh4 after structural relaxation.

SG: R-3m, No. 166
Formation energy from the elements, eV/f.u.: -6.730

POSCAR file:
```
CeHo3Rh4
1.0
-0.8147 4.7840 0.3481
-1.0977 1.9735 4.3095
7.0325 3.4567 2.9547
Ce Ho Rh
1 3 4
Cartesian
0.0000 0.0000 0.0000 Ce
2.5600 5.1071 3.8061 Ho
3.7944 7.6535 5.7009 Ho
1.3256 2.5607 1.9114 Ho
5.4574 5.5620 4.3358 Rh
4.2012 3.0122 2.4371 Rh
-0.3373 4.6522 3.2765 Rh
0.9189 7.2020 5.1752 Rh
```


(8)
Density functional theory data (PBE) for Ce2Ho2Si4Rh after structural relaxation.

SG: I4/mmm, No. 139
Formation energy from raw total energies, eV/f.u.: -3.73

POSCAR file:
```
Ce2Ho2Si4Rh
1.0
6.3657 0.3328 0.4803
-2.7637 5.7441 -0.4803
-2.7637 -2.4678 5.2092
Si Rh Ho Ce
4 1 2 2
Cartesian
1.7357 0.9497 1.3708 Si
-2.7637 3.7655 0.8905 Si
-0.8974 2.6593 3.8383 Si
-2.7637 -0.4893 3.8383 Si
0.0000 0.0000 0.0000 Rh
0.4192 3.8575 1.1822 Ho
0.4192 -0.2484 4.0269 Ho
-3.7133 2.2010 3.1768 Ce
-1.8141 1.0753 1.5520 Ce
```


(9)
Density functional theory data (PBE) for CeHo2Sn2Rh5 after structural relaxation.

SG: P4/mbm, No. 127
Formation energy from the elements, eV/f.u.: -6.776

POSCAR file:
```
CeHo2Sn2Rh5
1.0
3.8414 0.0000 0.0000
0.0000 10.1693 0.0000
0.0000 0.0000 10.1693
Ho Rh Sn Ce
4 10 4 2
Cartesian
0.0000 1.6999 3.3847 Ho
0.0000 3.3847 8.4694 Ho
0.0000 6.7846 1.6999 Ho
0.0000 8.4694 6.7846 Ho
1.9207 8.1157 9.5418 Rh
1.9207 2.0536 0.6275 Rh
1.9207 4.4571 3.0310 Rh
1.9207 5.7121 7.1382 Rh
1.9207 3.0310 5.7121 Rh
1.9207 9.5418 2.0536 Rh
1.9207 5.0846 0.0000 Rh
1.9207 0.6275 8.1157 Rh
1.9207 0.0000 5.0846 Rh
1.9207 7.1382 4.4571 Rh
0.0000 3.7608 1.3238 Sn
0.0000 1.3238 6.4085 Sn
0.0000 8.8454 3.7608 Sn
0.0000 6.4085 8.8454 Sn
0.0000 0.0000 0.0000 Ce
0.0000 5.0846 5.0846 Ce
```


(10)
Density functional theory data (PBE) for TbCeHo2Rh4 after structural relaxation.

SG: R-3m, No. 166
Formation energy from the elements, eV/f.u.: -6.618

POSCAR file:
```
TbCeHo2Rh4
1.0
-4.5309 0.4684 -1.7405
-2.6212 -3.9688 -1.0752
-5.2302 -1.2856 6.4386
Rh Tb Ho Ce
4 1 2 1
Cartesian
-4.1496 -1.2405 3.6379 Rh
-7.2343 -2.4365 4.5153 Rh
-5.1480 -2.3494 -0.8923 Rh
-8.2326 -3.5455 -0.0149 Rh
0.0000 0.0000 0.0000 Tb
-9.3014 -3.5901 2.7554 Ho
-3.0809 -1.1959 0.8676 Ho
-6.1911 -2.3930 1.8115 Ce
```